[1]
VASP calculation (GGA-PBE) on a relaxed MgTe2F crystal.

Output
- formation energy from raw total energies (eV per atom) = -0.64
- E above lowest polymorph (meV per atom) = 63
- space-group type = Fm-3m (225)

Cell: 6.958 6.958 6.958 Å, 90.00 90.00 90.00°
Sites, in units of the cell vectors:
Mg 0.000 0.000 0.000
Mg 0.000 0.500 0.500
Mg 0.500 0.000 0.500
Mg 0.500 0.500 0.000
Te 0.250 0.250 0.250
Te 0.250 0.250 0.750
Te 0.250 0.750 0.250
Te 0.250 0.750 0.750
Te 0.750 0.250 0.250
Te 0.750 0.250 0.750
Te 0.750 0.750 0.250
Te 0.750 0.750 0.750
F 0.000 0.000 0.500
F 0.000 0.500 0.000
F 0.500 0.000 0.000
F 0.500 0.500 0.500


[2]
VASP calculation (GGA-PBE) on a relaxed MgTe2F crystal.

Output
- formation energy from raw total energies (eV per atom) = -0.71
- E above lowest polymorph (meV per atom) = 0
- space-group type = I-42d (122)

Cell: 4.335 4.335 20.789 Å, 90.00 90.00 90.00°
Sites, in units of the cell vectors:
Mg 0.000 0.000 0.000
Mg 0.000 0.500 0.250
Mg 0.500 0.000 0.750
Mg 0.500 0.500 0.500
Te 0.250 0.250 0.125
Te 0.250 0.250 0.625
Te 0.250 0.750 0.375
Te 0.250 0.750 0.875
Te 0.750 0.250 0.375
Te 0.750 0.250 0.875
Te 0.750 0.750 0.125
Te 0.750 0.750 0.625
F 0.000 0.000 0.500
F 0.000 0.500 0.750
F 0.500 0.000 0.250
F 0.500 0.500 0.000


[3]
VASP calculation (GGA-PBE) on a relaxed Mg2TeF crystal.

Output
- formation energy from raw total energies (eV per atom) = -1.34
- E above lowest polymorph (meV per atom) = 0
- space-group type = I-42d (122)

Cell: 5.570 5.570 12.066 Å, 90.00 90.00 90.00°
Sites, in units of the cell vectors:
Mg 0.147 0.250 0.125
Mg 0.250 0.647 0.375
Mg 0.250 0.853 0.875
Mg 0.353 0.250 0.625
Mg 0.647 0.750 0.625
Mg 0.750 0.147 0.875
Mg 0.750 0.353 0.375
Mg 0.853 0.750 0.125
Te 0.000 0.000 0.500
Te 0.000 0.500 0.750
Te 0.500 0.000 0.250
Te 0.500 0.500 0.000
F 0.000 0.000 0.000
F 0.000 0.500 0.250
F 0.500 0.000 0.750
F 0.500 0.500 0.500


[4]
VASP calculation (GGA-PBE) on a relaxed MgTeF2 crystal.

Output
- formation energy from raw total energies (eV per atom) = -2.20
- E above lowest polymorph (meV per atom) = 272
- space-group type = I4_1/amd (141)

Cell: 6.085 6.085 8.630 Å, 90.00 90.00 90.00°
Sites, in units of the cell vectors:
Mg 0.000 0.250 0.375
Mg 0.000 0.750 0.625
Mg 0.500 0.250 0.125
Mg 0.500 0.750 0.875
Te 0.000 0.250 0.875
Te 0.000 0.750 0.125
Te 0.500 0.250 0.625
Te 0.500 0.750 0.375
F 0.000 0.000 0.500
F 0.000 0.500 0.500
F 0.250 0.250 0.250
F 0.250 0.750 0.750
F 0.500 0.000 0.000
F 0.500 0.500 0.000
F 0.750 0.250 0.250
F 0.750 0.750 0.750


[5]
VASP calculation (GGA-PBE) on a relaxed MgTeF2 crystal.

Output
- formation energy from raw total energies (eV per atom) = -1.39
- E above lowest polymorph (meV per atom) = 1078
- space-group type = R-3m (166)

Cell: 3.328 3.328 27.092 Å, 90.00 90.00 120.00°
Sites, in units of the cell vectors:
Mg 0.000 0.000 0.000
Mg 0.333 0.667 0.667
Mg 0.667 0.333 0.333
Te 0.000 0.000 0.500
Te 0.333 0.667 0.167
Te 0.667 0.333 0.833
F 0.000 0.000 0.066
F 0.000 0.000 0.934
F 0.333 0.667 0.601
F 0.333 0.667 0.732
F 0.667 0.333 0.268
F 0.667 0.333 0.399


[6]
VASP calculation (GGA-PBE) on a relaxed MgTeF6 crystal.

Output
- formation energy from raw total energies (eV per atom) = -2.55
- E above lowest polymorph (meV per atom) = 65
- space-group type = C2/m (12)

Cell: 5.235 9.037 5.221 Å, 90.00 102.79 90.00°
Sites, in units of the cell vectors:
Mg 0.000 0.000 0.000
Mg 0.500 0.500 0.000
Te 0.000 0.500 0.500
Te 0.500 0.000 0.500
F 0.242 0.143 0.247
F 0.242 0.857 0.247
F 0.249 0.000 0.758
F 0.251 0.500 0.242
F 0.258 0.357 0.753
F 0.258 0.643 0.753
F 0.742 0.357 0.247
F 0.742 0.643 0.247
F 0.749 0.500 0.758
F 0.751 0.000 0.242
F 0.758 0.143 0.753
F 0.758 0.857 0.753


[7]
VASP calculation (GGA-PBE) on a relaxed MgTe2F crystal.

Output
- formation energy from raw total energies (eV per atom) = -0.53
- E above lowest polymorph (meV per atom) = 177
- space-group type = R-3m (166)

Cell: 3.436 3.436 27.809 Å, 90.00 90.00 120.00°
Sites, in units of the cell vectors:
Mg 0.000 0.000 0.000
Mg 0.333 0.667 0.667
Mg 0.667 0.333 0.333
Te 0.000 0.000 0.416
Te 0.000 0.000 0.584
Te 0.333 0.667 0.083
Te 0.333 0.667 0.251
Te 0.667 0.333 0.749
Te 0.667 0.333 0.917
F 0.000 0.000 0.500
F 0.333 0.667 0.167
F 0.667 0.333 0.833


[8]
VASP calculation (GGA-PBE) on a relaxed Mg2TeF crystal.

Output
- formation energy from raw total energies (eV per atom) = -1.05
- E above lowest polymorph (meV per atom) = 295
- space-group type = Fm-3m (225)

Cell: 6.878 6.878 6.878 Å, 90.00 90.00 90.00°
Sites, in units of the cell vectors:
Mg 0.250 0.250 0.250
Mg 0.250 0.250 0.750
Mg 0.250 0.750 0.250
Mg 0.250 0.750 0.750
Mg 0.750 0.250 0.250
Mg 0.750 0.250 0.750
Mg 0.750 0.750 0.250
Mg 0.750 0.750 0.750
Te 0.000 0.000 0.000
Te 0.000 0.500 0.500
Te 0.500 0.000 0.500
Te 0.500 0.500 0.000
F 0.000 0.000 0.500
F 0.000 0.500 0.000
F 0.500 0.000 0.000
F 0.500 0.500 0.500


[9]
VASP calculation (GGA-PBE) on a relaxed Y2MgTeF crystal.

Output
- formation energy from raw total energies (eV per atom) = -1.10
- space-group type = P4/mmm (123)

Cell: 5.374 5.374 3.993 Å, 90.00 90.00 90.00°
Sites, in units of the cell vectors:
Y 0.000 0.500 0.000
Y 0.500 0.000 0.000
Mg 0.000 0.000 0.500
Te 0.500 0.500 0.500
F 0.000 0.000 0.000


[10]
VASP calculation (GGA-PBE) on a relaxed ThMgF6 crystal.

Output
- formation energy from raw total energies (eV per atom) = -3.88
- space-group type = P-31c (163)

Cell: 5.449 5.449 10.180 Å, 90.00 90.00 120.00°
Sites, in units of the cell vectors:
Th 0.000 0.000 0.000
Th 0.000 0.000 0.500
Mg 0.333 0.667 0.250
Mg 0.667 0.333 0.750
F 0.055 0.357 0.131
F 0.055 0.698 0.369
F 0.302 0.357 0.369
F 0.302 0.945 0.131
F 0.357 0.055 0.631
F 0.357 0.302 0.869
F 0.643 0.698 0.131
F 0.643 0.945 0.369
F 0.698 0.055 0.869
F 0.698 0.643 0.631
F 0.945 0.302 0.631
F 0.945 0.643 0.869


[11]
VASP calculation (GGA-PBE) on a relaxed Mg2TiF2 crystal.

Output
- formation energy from raw total energies (eV per atom) = -1.15
- E above lowest polymorph (meV per atom) = 0
- space-group type = P4/mbm (127)

Cell: 7.492 7.492 2.790 Å, 90.00 90.00 90.00°
Sites, in units of the cell vectors:
Mg 0.133 0.367 0.000
Mg 0.367 0.867 0.000
Mg 0.633 0.133 0.000
Mg 0.867 0.633 0.000
Ti 0.000 0.000 0.500
Ti 0.500 0.500 0.500
F 0.108 0.608 0.500
F 0.392 0.108 0.500
F 0.608 0.892 0.500
F 0.892 0.392 0.500


[12]
VASP calculation (GGA-PBE) on a relaxed Mg2TiF crystal.

Output
- formation energy from raw total energies (eV per atom) = -0.02
- E above lowest polymorph (meV per atom) = 612
- space-group type = Fm-3m (225)

Cell: 6.888 6.888 6.888 Å, 90.00 90.00 90.00°
Sites, in units of the cell vectors:
Mg 0.250 0.250 0.250
Mg 0.250 0.250 0.750
Mg 0.250 0.750 0.250
Mg 0.250 0.750 0.750
Mg 0.750 0.250 0.250
Mg 0.750 0.250 0.750
Mg 0.750 0.750 0.250
Mg 0.750 0.750 0.750
Ti 0.000 0.000 0.000
Ti 0.000 0.500 0.500
Ti 0.500 0.000 0.500
Ti 0.500 0.500 0.000
F 0.000 0.000 0.500
F 0.000 0.500 0.000
F 0.500 0.000 0.000
F 0.500 0.500 0.500


[13]
VASP calculation (GGA-PBE) on a relaxed Mg2TiF crystal.

Output
- formation energy from raw total energies (eV per atom) = -0.63
- E above lowest polymorph (meV per atom) = 0
- space-group type = I-42d (122)

Cell: 6.376 6.376 7.700 Å, 90.00 90.00 90.00°
Sites, in units of the cell vectors:
Mg 0.131 0.750 0.125
Mg 0.250 0.131 0.875
Mg 0.250 0.369 0.375
Mg 0.369 0.750 0.625
Mg 0.631 0.250 0.625
Mg 0.750 0.631 0.375
Mg 0.750 0.869 0.875
Mg 0.869 0.250 0.125
Ti 0.000 0.000 0.500
Ti 0.000 0.500 0.750
Ti 0.500 0.000 0.250
Ti 0.500 0.500 0.000
F 0.000 0.000 0.000
F 0.000 0.500 0.250
F 0.500 0.000 0.750
F 0.500 0.500 0.500


| no. | density of states at the Fermi level (states/eV/cell) | total magnetization (μB/cell) |
| --- | --- | --- |
| 1 | 8.903 | 0.0 |
| 2 | 5.803 | 0.0 |
| 3 | 8.711 | 0.0 |
| 4 | 3.781 | 0.0 |
| 5 | 5.166 | 1.2 |
| 6 | 0.000 | 0.0 |
| 7 | 8.526 | 0.0 |
| 8 | 9.722 | 0.0 |
| 9 | 6.187 | 0.0 |
| 10 | 0.000 | 0.0 |
| 11 | 7.199 | 1.7 |
| 12 | 5.541 | 9.6 |
| 13 | 13.789 | 8.8 |